(1)
Below is UP2Ir5 after structural relaxation, with properties calculated at the PBE-GGA level.

Properties
Energy of formation from the pure elements, eV/atom: -0.556
Crystal system: orthorhombic

The structure in CIF format:
```
data_UP2Ir5
_cell_length_a 3.9222
_cell_length_b 6.8677
_cell_length_c 9.3315
_cell_angle_alpha 90.00
_cell_angle_beta 90.00
_cell_angle_gamma 90.00
_space_group_name_H-M_alt 'I m m m'
_space_group_IT_number 71
_space_group_name_Hall '-I 2 2'
loop_
_atom_site_label
_atom_site_type_symbol
_atom_site_fract_x
_atom_site_fract_y
_atom_site_fract_z
_atom_site_occupancy
U1 U 0.0000 0.0000 0.0000 1
P1 P 0.0000 0.5000 0.2492 1
Ir1 Ir 0.0000 0.2079 0.3564 1
Ir2 Ir 0.0000 0.5000 0.0000 1
```

***

(2)
Below is InCuPdW2 after structural relaxation, with properties calculated at the PBE-GGA level.

Properties
Energy above the most stable polymorph in this dataset, eV/atom: 0.000
Energy of formation from the pure elements, eV/atom: 1.721
Crystal system: tetragonal

The structure in CIF format:
```
data_InCuPdW2
_cell_length_a 4.7847
_cell_length_b 4.7847
_cell_length_c 4.6482
_cell_angle_alpha 90.00
_cell_angle_beta 90.00
_cell_angle_gamma 90.00
_space_group_name_H-M_alt 'P 4/m m m'
_space_group_IT_number 123
_space_group_name_Hall '-P 4 2'
loop_
_atom_site_label
_atom_site_type_symbol
_atom_site_fract_x
_atom_site_fract_y
_atom_site_fract_z
_atom_site_occupancy
In1 In 0.0000 0.0000 0.0000 1
Cu1 Cu 0.5000 0.5000 0.0000 1
Pd1 Pd 0.5000 0.5000 0.5000 1
W1 W 0.0000 0.5000 0.5000 1
```

***

(3)
Below is MnBeIrSe2 after structural relaxation, with properties calculated at the PBE-GGA level.

Properties
Raw formation energy, eV/atom: 0.984
Crystal system: tetragonal

The structure in CIF format:
```
data_MnBeIrSe2
_cell_length_a 4.4661
_cell_length_b 4.4661
_cell_length_c 4.0984
_cell_angle_alpha 90.00
_cell_angle_beta 90.00
_cell_angle_gamma 90.00
_space_group_name_H-M_alt 'P 4/m m m'
_space_group_IT_number 123
_space_group_name_Hall '-P 4 2'
loop_
_atom_site_label
_atom_site_type_symbol
_atom_site_fract_x
_atom_site_fract_y
_atom_site_fract_z
_atom_site_occupancy
Mn1 Mn 0.0000 0.0000 0.0000 1
Be1 Be 0.5000 0.5000 0.5000 1
Ir1 Ir 0.5000 0.5000 0.0000 1
Se1 Se 0.0000 0.5000 0.5000 1
```

***

(4)
Below is TlCuNiPt after structural relaxation, with properties calculated at the PBE-GGA level.

Properties
Energy of formation from the pure elements, eV/atom: 0.092
Crystal system: cubic

The structure in CIF format:
```
data_TlCuNiPt
_cell_length_a 6.2447
_cell_length_b 6.2447
_cell_length_c 6.2447
_cell_angle_alpha 90.00
_cell_angle_beta 90.00
_cell_angle_gamma 90.00
_space_group_name_H-M_alt 'F -4 3 m'
_space_group_IT_number 216
_space_group_name_Hall 'F -4 2 3'
loop_
_atom_site_label
_atom_site_type_symbol
_atom_site_fract_x
_atom_site_fract_y
_atom_site_fract_z
_atom_site_occupancy
Tl1 Tl 0.0000 0.0000 0.0000 1
Cu1 Cu 0.2500 0.2500 0.7500 1
Ni1 Ni 0.2500 0.2500 0.2500 1
Pt1 Pt 0.0000 0.0000 0.5000 1
```

***

(5)
Below is CsCd3Pb after structural relaxation, with properties calculated at the PBE-GGA level.

Properties
Energy above the most stable polymorph in this dataset, eV/atom: 0.000
Energy of formation from the pure elements, eV/atom: -0.058
Crystal system: monoclinic

The structure in CIF format:
```
data_CsCd3Pb
_cell_length_a 5.9840
_cell_length_b 7.4340
_cell_length_c 8.4624
_cell_angle_alpha 90.00
_cell_angle_beta 97.55
_cell_angle_gamma 90.00
_space_group_name_H-M_alt 'P 1 21/m 1'
_space_group_IT_number 11
loop_
_space_group_symop_operation_xyz
'x,y,z'
'-x,-y,-z'
'-x,y+1/2,-z'
'x,-y+1/2,z'
loop_
_atom_site_label
_atom_site_type_symbol
_atom_site_fract_x
_atom_site_fract_y
_atom_site_fract_z
_atom_site_occupancy
Cs1 Cs 0.1579 0.2500 0.1487 1
Cd1 Cd 0.0190 0.2500 0.6688 1
Cd2 Cd 0.2910 0.5499 0.5669 1
Pb1 Pb 0.4551 0.7500 0.2281 1
```

***

(6)
Below is MgZnRh2 after structural relaxation, with properties calculated at the PBE-GGA level.

Properties
Energy of formation from the pure elements, eV/atom: -0.301
Crystal system: monoclinic

The structure in CIF format:
```
data_MgZnRh2
_cell_length_a 4.9900
_cell_length_b 2.8787
_cell_length_c 8.4310
_cell_angle_alpha 90.00
_cell_angle_beta 101.52
_cell_angle_gamma 90.00
_space_group_name_H-M_alt 'C 1 m 1'
_space_group_IT_number 8
loop_
_space_group_symop_operation_xyz
'x,y,z'
'x,-y,z'
'x+1/2,y+1/2,z'
'x+1/2,-y+1/2,z'
loop_
_atom_site_label
_atom_site_type_symbol
_atom_site_fract_x
_atom_site_fract_y
_atom_site_fract_z
_atom_site_occupancy
Mg1 Mg 0.0000 0.0000 0.0000 1
Zn1 Zn 0.3333 0.5000 0.5004 1
Rh1 Rh 0.2495 0.0000 0.7441 1
Rh2 Rh 0.4170 0.0000 0.2565 1
```

***

| no. | total magnetic moment (μB per cell) | electronic total energy (eV per atom) |
| --- | --- | --- |
| 1 | 3.1 | -8.86 |
| 2 | 1.8 | -5.87 |
| 3 | 0.1 | -4.76 |
| 4 | 0.0 | -4.48 |
| 5 | 0.0 | -1.52 |
| 6 | 0.0 | -4.69 |